Here is SrZrSi4 after structural relaxation from the Alexandria database. Energies are from PBE.

Output
- Raw formation energy: -0.0187 eV per atom
- Magnetic moment: 0.0 μB per formula unit
- Fermi-level density of states: 4.6 states/eV/cell
- Crystal system: cubic

```
data_SrZrSi4
_chemical_formula_sum 'Sr1 Zr1 Si4'
_cell_length_a 5.344
_cell_length_b 5.344
_cell_length_c 5.344
_cell_angle_alpha 60.00
_cell_angle_beta 60.00
_cell_angle_gamma 60.00
_space_group_name_H-M_alt 'P 1'
_space_group_IT_number 1
loop_
_space_group_symop_operation_xyz
'x,y,z'
loop_
_atom_site_label
_atom_site_type_symbol
_atom_site_fract_x
_atom_site_fract_y
_atom_site_fract_z
Sr1 Sr 0.000 0.000 0.000
Zr1 Zr 0.750 0.750 0.750
Si1 Si 0.379 0.379 0.379
Si2 Si 0.379 0.379 0.864
Si3 Si 0.379 0.864 0.379
Si4 Si 0.864 0.379 0.379
```